Material: ScV2CrO8
Method: DFT, PBE with a Hubbard U
State: relaxed

Summary:
electronic total energy: -0.28632 hartree per atom

Unit cell a=5.695 b=5.695 c=5.695 alpha=107.55 beta=107.55 gamma=113.39
Element x y z (fractional)
Sc1 0.000 0.000 0.000
V1 0.500 0.500 0.000
V2 0.750 0.250 0.500
Cr1 0.250 0.750 0.500
O1 0.320 0.121 0.800
O2 0.320 0.520 0.200
O3 0.376 0.074 0.302
O4 0.480 0.680 0.800
O5 0.772 0.074 0.698
O6 0.879 0.680 0.200
O7 0.926 0.228 0.302
O8 0.926 0.624 0.698